First-principles (PBE) data for a relaxed structure of Ac8Cd2Ru, as listed in Alexandria.

DFT formation energy   -1.8 kcal/mol of atoms
Crystal system   monoclinic

Cell: 19.377 5.942 7.518 Å, 90.00 108.31 90.00°
Space group C2/m (No. 12)
Symmetry-distinct sites (fractional):
Ac (0.021, 0.000, 0.289)
Ac (0.090, 0.500, 0.911)
Ac (0.147, 0.500, 0.447)
Ac (0.203, 0.000, 0.788)
Cd (0.184, 0.000, 0.215)
Ru (0.000, 0.500, 0.500)